No. 1
Density functional theory data (PBE) for a relaxed structure of CsCd3Te.

abc: 7.1157 7.1157 7.1157
angles: 90.00 90.00 90.00
Closest atoms and distances in Å follow each position.
Fractional coordinates of all 5 atoms:
1 Cs 0.0000 0.0000 0.0000  6 Cd 3.56
2 Cd 0.0000 0.0000 0.5000  2 Cs 3.56
3 Cd 0.0000 0.5000 0.0000  2 Cs 3.56
4 Cd 0.5000 0.0000 0.0000  2 Cs 3.56
5 Te 0.5000 0.5000 0.5000  12 Cd 5.03

## Properties
theoretical density = 2.8 g cm⁻³
SG = Pm-3m (221)
E = -0.75 eV/atom
D(E_F) = 15.38 states/eV/f.u.
E_form (uncorrected) = 596 meV per atom


No. 2
Density functional theory data (PBE) for a relaxed structure of Tl2MoAu.

abc: 4.7362 5.8503 5.8503
angles: 31.84 90.00 90.00
Closest atoms and distances in Å follow each position.
Fractional coordinates of all 4 atoms:
1 Tl 0.0000 0.0000 0.0000  3 Mo 2.97-3.11, 4 Au 3.03, 2 Tl 3.21
2 Tl 0.5000 0.3115 0.3115  3 Au 2.97-3.13, 4 Mo 2.98, 2 Tl 3.21
3 Mo 0.0000 0.7365 0.7365  2 Au 2.89, 7 Tl 2.97-3.11, 2 Mo 3.21
4 Au 0.5000 0.5895 0.5895  2 Mo 2.89, 7 Tl 2.97-3.13, 2 Au 3.21

## Properties
theoretical density = 13.6 g cm⁻³
SG = Amm2 (38)
E = -4.16 eV/atom
D(E_F) = 2.75 states/eV/f.u.
formation energy from the elements = 0.55 eV/atom


No. 3
Density functional theory data (PBE) for a relaxed structure of Pm3Pr8Nd3.

abc: 10.0049 10.0049 10.0049
angles: 146.12 112.98 77.25
Closest atoms and distances in Å follow each position.
Fractional coordinates of all 14 atoms:
1 Pm 0.0000 0.0000 0.0000  2 Pm 3.34
2 Pm 0.3028 0.0000 0.3028  1 Pm 3.34, 4 Nd 3.57-3.64, 4 Pr 3.68
3 Pm 0.6972 0.0000 0.6972  1 Pm 3.34, 4 Nd 3.57-3.64, 4 Pr 3.68
4 Pr 0.0591 0.3963 0.6628  5 Pr 3.24-3.60
5 Pr 0.0634 0.2224 0.8410  6 Pr 3.36-3.64, 2 Nd 3.72
6 Pr 0.2665 0.6037 0.6628  5 Pr 3.24-3.60
7 Pr 0.3814 0.2224 0.1590  6 Pr 3.36-3.64, 2 Nd 3.72
8 Pr 0.6186 0.7776 0.8410  6 Pr 3.36-3.64, 2 Nd 3.72
9 Pr 0.7335 0.3963 0.3372  5 Pr 3.24-3.60
10 Pr 0.9366 0.7776 0.1590  6 Pr 3.36-3.64, 2 Nd 3.72
11 Pr 0.9409 0.6037 0.3372  5 Pr 3.24-3.60
12 Nd 0.3192 0.8192 0.5000  2 Pm 3.57, 8 Pr 3.72-3.82
13 Nd 0.5000 0.5000 0.0000  4 Pm 3.64, 4 Nd 4.06, 4 Pr 4.06
14 Nd 0.6808 0.1808 0.5000  2 Pm 3.57, 8 Pr 3.72-3.82

## Properties
theoretical density = 6.6 g cm⁻³
SG = Immm (71)
E = -4.67 eV/atom
D(E_F) = 19.03 states/eV/f.u.
formation energy from the elements = 0.10 eV/atom


No. 4
Density functional theory data (PBE) for a relaxed structure of Cs2HIr.

abc: 9.0190 9.0190 9.0190
angles: 140.78 140.78 56.67
Closest atoms and distances in Å follow each position.
Fractional coordinates of all 8 atoms:
1 Cs 0.0916 0.6250 0.9666  2 Ir 2.82, 2 H 3.03
2 Cs 0.3750 0.3416 0.4666  2 Ir 2.82, 2 H 3.03
3 Cs 0.6584 0.1250 0.0334  2 Ir 2.82, 2 H 3.03
4 Cs 0.8750 0.9084 0.5334  2 Ir 2.82, 2 H 3.03
5 H 0.2500 0.7500 0.5000  4 Cs 3.03
6 H 0.5000 0.5000 0.0000  4 Cs 3.03
7 Ir 0.0000 0.0000 0.0000  4 Cs 2.82
8 Ir 0.7500 0.2500 0.5000  4 Cs 2.82

## Properties
theoretical density = 5.2 g cm⁻³
SG = I-42d (122)
E = -2.25 eV/atom
D(E_F) = 0.58 states/eV/f.u.


No. 5
Density functional theory data (PBE) for a relaxed structure of NaLi2Th.

abc: 12.3037 12.3037 12.3037
angles: 15.42 15.42 15.42
Closest atoms and distances in Å follow each position.
Fractional coordinates of all 4 atoms:
1 Na 0.0000 0.0000 0.0000  6 Na 3.30, 6 Li 3.47
2 Li 0.4129 0.4129 0.4129  1 Th 3.18, 6 Li 3.30, 3 Na 3.47
3 Li 0.5871 0.5871 0.5871  1 Th 3.18, 6 Li 3.30, 3 Na 3.47
4 Th 0.5000 0.5000 0.5000  2 Li 3.18, 6 Th 3.30

## Properties
theoretical density = 3.9 g cm⁻³
SG = R-3m (166)
E = -2.90 eV/atom
D(E_F) = 2.68 states/eV/f.u.
formation energy from the elements = 0.24 eV/atom


No. 6
Density functional theory data (PBE) for a relaxed structure of LiCeScPb.

abc: 5.2407 5.2407 5.2407
angles: 60.00 60.00 60.00
Closest atoms and distances in Å follow each position.
Fractional coordinates of all 4 atoms:
1 Li 0.0000 0.0000 0.0000  4 Ce 3.21, 4 Sc 3.21
2 Ce 0.2500 0.2500 0.2500  4 Pb 3.21, 4 Li 3.21
3 Sc 0.7500 0.7500 0.7500  4 Pb 3.21, 4 Li 3.21
4 Pb 0.5000 0.5000 0.5000  4 Ce 3.21, 4 Sc 3.21

## Properties
theoretical density = 6.5 g cm⁻³
SG = F-43m (216)
E = -4.63 eV/atom
D(E_F) = 11.19 states/eV/f.u.
formation energy from the elements = -0.15 eV/atom


No. 7
Density functional theory data (PBE) for a relaxed structure of Sc2CdC.

abc: 4.6073 4.6073 4.6073
angles: 60.00 60.00 60.00
Closest atoms and distances in Å follow each position.
Fractional coordinates of all 4 atoms:
1 Sc 0.2500 0.2500 0.2500  4 C 2.82, 4 Cd 2.82
2 Sc 0.7500 0.7500 0.7500  4 C 2.82, 4 Cd 2.82
3 Cd 0.0000 0.0000 0.0000  8 Sc 2.82
4 C 0.5000 0.5000 0.5000  8 Sc 2.82

## Properties
theoretical density = 5.1 g cm⁻³
SG = Fm-3m (225)
E = -5.12 eV/atom
D(E_F) = 3.76 states/eV/f.u.
formation energy from the elements = 0.58 eV/atom


No. 8
Density functional theory data (PBE) for a relaxed structure of K4Ac3AlSe8.

abc: 8.8545 8.8545 9.3086
angles: 118.63 118.63 59.72
Closest atoms and distances in Å follow each position.
Fractional coordinates of all 16 atoms:
1 K 0.0000 0.0000 0.0000  6 Se 3.50-3.71
2 K 0.0000 0.5000 0.0000  6 Se 3.33-3.35
3 K 0.5000 0.0000 0.0000  6 Se 3.33-3.35
4 K 0.5000 0.5000 0.0000  6 Se 3.34-3.35
5 Ac 0.0000 0.0000 0.5000  6 Se 3.08-3.14
6 Ac 0.0000 0.5000 0.5000  6 Se 3.09-3.14
7 Ac 0.5000 0.0000 0.5000  6 Se 3.09-3.14
8 Al 0.5000 0.5000 0.5000  6 Se 2.70-2.91
9 Se 0.2407 0.2407 0.7236  3 Ac 3.08-3.09, 3 K 3.33-3.34
10 Se 0.2724 0.2724 0.2872  1 Al 2.91, 2 Ac 3.11
11 Se 0.2765 0.7110 0.6987  1 Al 2.70
12 Se 0.2890 0.7235 0.3013  1 Al 2.70
13 Se 0.7110 0.2765 0.6987  1 Al 2.70
14 Se 0.7235 0.2890 0.3013  1 Al 2.70
15 Se 0.7276 0.7276 0.7128  1 Al 2.91, 2 Ac 3.11
16 Se 0.7593 0.7593 0.2764  3 Ac 3.08-3.09, 3 K 3.33-3.34

## Properties
theoretical density = 4.7 g cm⁻³
SG = C2/m (12)
E = -4.55 eV/atom
E_form (uncorrected) = -1530 meV per atom


- Which of these has the highest theoretical density?
  Tl2MoAu


- What is the E in the eighth record?
  -4.55 eV/atom


- Which value of E does entry 5 give?
  -2.90 eV/atom